Ca2CoHg: optimized geometry, PBE.

Values from the calculation:
The symmetry is P2/m, No. 10. The calculation puts the formation energy at -0.02 eV/atom. Its raw total energy is -2.87 eV/atom. The calculation puts the size of the total moment at 0.56 μB/f.u.

abc: 3.513 3.612 7.430
angles: 90.00 90.32 90.00
Positions (direct):
1 Ca 0.001 0.000 0.279
2 Ca 0.999 0.000 0.721
3 Co 0.500 0.500 0.500
4 Hg 0.500 0.500 0.000